(1)
DFT (PBE) results for a geometry-optimized Nb12Cr5Os3 structure.

Cell lengths 12.7584, 12.7584, 12.7584 Å; angles 109.47, 109.47, 109.47 degrees
With the nearest neighbours (Å) after each atom.
Element x y z (fractional)
Cr  0.3750  0.2500  0.1250  4 Nb 2.44
Cr  0.5000  0.0000  0.5000  6 Nb 2.41
Cr  0.1250  0.3750  0.2500  4 Nb 2.44
Cr  0.0000  0.0000  0.5000  6 Nb 2.41
Cr  0.6250  0.7500  0.8750  4 Nb 2.44
Cr  0.8750  0.2500  0.6250  4 Nb 2.44
Cr  0.7500  0.6250  0.3750  4 Nb 2.44
Cr  0.5000  0.0000  0.0000  6 Nb 2.41
Cr  0.2500  0.3750  0.6250  4 Nb 2.44
Cr  0.3750  0.1250  0.7500  4 Nb 2.44
Cr  0.6250  0.8750  0.2500  4 Nb 2.44
Cr  0.0000  0.5000  0.5000  6 Nb 2.41
Cr  0.0000  0.5000  0.0000  6 Nb 2.41
Cr  0.8750  0.6250  0.7500  4 Nb 2.44
Cr  0.5000  0.5000  0.0000  6 Nb 2.41
Cr  0.7500  0.1250  0.8750  4 Nb 2.44
Cr  0.5000  0.5000  0.5000  6 Nb 2.41
Cr  0.2500  0.8750  0.1250  4 Nb 2.44
Cr  0.0000  0.0000  0.0000  6 Nb 2.41
Cr  0.1250  0.7500  0.3750  4 Nb 2.44
Os  0.3750  0.6250  0.2500  8 Nb 2.63-2.86
Os  0.3750  0.7500  0.6250  8 Nb 2.63-2.86
Os  0.8750  0.1250  0.2500  8 Nb 2.63-2.86
Os  0.7500  0.8750  0.6250  8 Nb 2.63-2.86
Os  0.8750  0.7500  0.1250  8 Nb 2.63-2.86
Os  0.6250  0.3750  0.7500  8 Nb 2.63-2.86
Os  0.2500  0.1250  0.3750  8 Nb 2.63-2.86
Os  0.1250  0.8750  0.7500  8 Nb 2.63-2.86
Os  0.6250  0.2500  0.3750  8 Nb 2.63-2.86
Os  0.1250  0.2500  0.8750  8 Nb 2.63-2.86
Os  0.2500  0.6250  0.8750  8 Nb 2.63-2.86
Os  0.7500  0.3750  0.1250  8 Nb 2.63-2.86
Nb  0.2183  0.5531  0.6242  2 Cr 2.41-2.44, 1 Os 2.63
Nb  0.6652  0.4469  0.5711  2 Cr 2.41-2.44, 1 Os 2.63
Nb  0.4289  0.0531  0.3348  2 Cr 2.41-2.44, 1 Os 2.63
Nb  0.4469  0.7817  0.8758  2 Cr 2.41-2.44, 1 Os 2.63
Nb  0.3758  0.4289  0.0941  2 Cr 2.41-2.44, 1 Os 2.63
Nb  0.1652  0.0941  0.7183  2 Cr 2.41-2.44, 1 Os 2.63
Nb  0.0711  0.1652  0.4469  2 Cr 2.41-2.44, 1 Os 2.63
Nb  0.3348  0.7817  0.4059  2 Cr 2.41-2.44, 1 Os 2.63
Nb  0.1242  0.7183  0.5531  2 Cr 2.41-2.44, 1 Os 2.63
Nb  0.0531  0.6242  0.7183  2 Cr 2.41-2.44, 1 Os 2.63
Nb  0.5531  0.3348  0.9289  2 Cr 2.41-2.44, 1 Os 2.63
Nb  0.0531  0.4289  0.8348  2 Cr 2.41-2.44, 1 Os 2.63
Nb  0.0941  0.1652  0.2183  2 Cr 2.41-2.44, 1 Os 2.63
Nb  0.7183  0.1242  0.0531  2 Cr 2.41-2.44, 1 Os 2.63
Nb  0.0941  0.9289  0.3758  2 Cr 2.41-2.44, 1 Os 2.63
Nb  0.3758  0.9469  0.7817  2 Cr 2.41-2.44, 1 Os 2.63
Nb  0.6652  0.2183  0.5941  2 Cr 2.41-2.44, 1 Os 2.63
Nb  0.4289  0.3758  0.5941  2 Cr 2.41-2.44, 1 Os 2.63
Nb  0.3348  0.5531  0.4289  2 Cr 2.41-2.44, 1 Os 2.63
Nb  0.9059  0.8348  0.7817  2 Cr 2.41-2.44, 1 Os 2.63
Nb  0.8758  0.2817  0.4469  2 Cr 2.41-2.44, 1 Os 2.63
Nb  0.4059  0.1242  0.5711  2 Cr 2.41-2.44, 1 Os 2.63
Nb  0.9289  0.0941  0.8758  2 Cr 2.41-2.44, 1 Os 2.63
Nb  0.2817  0.4059  0.8348  2 Cr 2.41-2.44, 1 Os 2.63
Nb  0.9469  0.3758  0.2817  2 Cr 2.41-2.44, 1 Os 2.63
Nb  0.0711  0.9059  0.1242  2 Cr 2.41-2.44, 1 Os 2.63
Nb  0.8348  0.9289  0.0531  2 Cr 2.41-2.44, 1 Os 2.63
Nb  0.7183  0.5941  0.1652  2 Cr 2.41-2.44, 1 Os 2.63
Nb  0.7817  0.4469  0.3758  2 Cr 2.41-2.44, 1 Os 2.63
Nb  0.1652  0.0711  0.9469  2 Cr 2.41-2.44, 1 Os 2.63
Nb  0.5941  0.8758  0.4289  2 Cr 2.41-2.44, 1 Os 2.63
Nb  0.2183  0.6652  0.0941  2 Cr 2.41-2.44, 1 Os 2.63
Nb  0.4469  0.6652  0.0711  2 Cr 2.41-2.44, 1 Os 2.63
Nb  0.5531  0.2183  0.1242  2 Cr 2.41-2.44, 1 Os 2.63
Nb  0.8758  0.5941  0.9289  2 Cr 2.41-2.44, 1 Os 2.63
Nb  0.6242  0.0531  0.2183  2 Cr 2.41-2.44, 1 Os 2.63
Nb  0.4059  0.2817  0.3348  2 Cr 2.41-2.44, 1 Os 2.63
Nb  0.6242  0.5711  0.9059  2 Cr 2.41-2.44, 1 Os 2.63
Nb  0.2817  0.8758  0.9469  2 Cr 2.41-2.44, 1 Os 2.63
Nb  0.9469  0.5711  0.1652  2 Cr 2.41-2.44, 1 Os 2.63
Nb  0.9289  0.8348  0.5531  2 Cr 2.41-2.44, 1 Os 2.63
Nb  0.1242  0.4059  0.0711  2 Cr 2.41-2.44, 1 Os 2.63
Nb  0.5711  0.6242  0.4059  2 Cr 2.41-2.44, 1 Os 2.63
Nb  0.5711  0.9469  0.6652  2 Cr 2.41-2.44, 1 Os 2.63
Nb  0.7817  0.3348  0.9059  2 Cr 2.41-2.44, 1 Os 2.63
Nb  0.8348  0.9059  0.2817  2 Cr 2.41-2.44, 1 Os 2.63
Nb  0.9059  0.0711  0.6242  2 Cr 2.41-2.44, 1 Os 2.63
Nb  0.5941  0.7183  0.6652  2 Cr 2.41-2.44, 1 Os 2.63

Summary:
- symmetry = Ia-3d
- energy of formation from the pure elements (eV per atom) = 1.09

(2)
DFT (PBE) results for a geometry-optimized Pr4HgC structure.

Cell lengths 3.7995, 7.1144, 7.1144 Å; angles 92.38, 90.00, 90.00 degrees
With the nearest neighbours (Å) after each atom.
Element x y z (fractional)
Pr  0.0000  0.8212  0.8211  2 C 2.59
Pr  0.0000  0.1788  0.1789  2 C 2.59
Pr  0.5000  0.2476  0.7524  1 C 2.54
Pr  0.5000  0.7524  0.2476  1 C 2.54
C  0.5000  0.0000  0.0000  6 Pr 2.54-2.59
Hg  0.0000  0.5000  0.5000  6 Pr 3.16-3.21

Summary:
- energy relative to the lowest polymorph listed for this composition (meV/atom) = 63
- symmetry = Cmmm
- energy of formation from the pure elements (eV per atom) = -0.05

(3)
DFT (PBE) results for a geometry-optimized Rb3PdO structure.

Cell lengths 6.3611, 8.0099, 8.9353 Å; angles 116.63, 90.00, 90.00 degrees
With the nearest neighbours (Å) after each atom.
Element x y z (fractional)
Pd  0.2727  0.3382  0.6764  1 O 2.02
Pd  0.7727  0.6618  0.3236  1 O 2.02
Rb  0.8005  0.1075  0.6632  2 O 2.84-2.94
Rb  0.3005  0.4444  0.3368  2 O 2.84-2.94
Rb  0.8313  0.1087  0.2174  1 O 2.60
Rb  0.3005  0.8925  0.3368  2 O 2.84-2.94
Rb  0.8005  0.5556  0.6632  2 O 2.84-2.94
Rb  0.3313  0.8913  0.7826  1 O 2.60
O  0.5805  0.7624  0.5247  1 Pd 2.02
O  0.0805  0.2376  0.4753  1 Pd 2.02

Summary:
- symmetry = Cmc2_1
- formation energy from raw total energies (kJ/mol of atoms) = -34.5

(4)
DFT (PBE) results for a geometry-optimized Na2InBr3 structure.

Cell lengths 6.3147, 8.9364, 13.2268 Å; angles 90.00, 90.00, 89.95 degrees
With the nearest neighbours (Å) after each atom.
Element x y z (fractional)
Na  0.2508  0.8782  0.7603  6 Br 2.97-3.16
Na  0.7499  0.1160  0.5824  6 Br 3.06-3.19
Na  0.7492  0.1218  0.2397  6 Br 2.97-3.16
Na  0.2501  0.8840  0.4176  6 Br 3.06-3.19
Na  0.7499  0.6160  0.9176  6 Br 3.06-3.19
Na  0.2508  0.3782  0.7397  6 Br 2.97-3.16
Na  0.7492  0.6218  0.2603  6 Br 2.97-3.16
Na  0.2501  0.3840  0.0824  6 Br 3.06-3.19
Br  0.7508  0.8677  0.7557  4 Na 3.10-3.19, 2 In 3.17-3.19
Br  0.2492  0.1323  0.2443  4 Na 3.10-3.19, 2 In 3.17-3.19
Br  0.7508  0.3677  0.7443  4 Na 3.10-3.19, 2 In 3.17-3.19
Br  0.2492  0.6323  0.2557  4 Na 3.10-3.19, 2 In 3.17-3.19
Br  0.7500  0.8936  0.4064  5 Na 3.00-3.16, 1 In 3.30
Br  0.2527  0.6515  0.5962  3 Na 2.97-3.15, 2 In 3.17-3.18
Br  0.2527  0.1515  0.9038  3 Na 2.97-3.15, 2 In 3.17-3.18
Br  0.7500  0.3936  0.0936  5 Na 3.00-3.16, 1 In 3.30
Br  0.7473  0.8485  0.0962  3 Na 2.97-3.15, 2 In 3.17-3.18
Br  0.2500  0.6064  0.9064  5 Na 3.00-3.16, 1 In 3.30
Br  0.7473  0.3485  0.4038  3 Na 2.97-3.15, 2 In 3.17-3.18
Br  0.2500  0.1064  0.5936  5 Na 3.00-3.16, 1 In 3.30
In  0.2478  0.3723  0.4209  6 Br 3.17-3.41
In  0.2478  0.8723  0.0791  6 Br 3.17-3.41
In  0.7522  0.6277  0.5791  6 Br 3.17-3.41
In  0.7522  0.1277  0.9209  6 Br 3.17-3.41

Summary:
- energy relative to the lowest polymorph listed for this composition (meV/atom) = 0
- symmetry = P2_1/c
- formation energy from raw total energies (kJ/mol of atoms) = -118.9

(5)
DFT (PBE) results for a geometry-optimized KZn2AgF8 structure.

Cell lengths 5.1752, 5.3249, 6.6005 Å; angles 88.95, 88.96, 85.74 degrees
With the nearest neighbours (Å) after each atom.
Element x y z (fractional)
F  0.2141  0.7961  0.2053  1 Ag 2.02, 1 Zn 2.10
F  0.3168  0.3436  0.9922  2 Zn 2.02-2.13
F  0.7859  0.2039  0.7947  1 Ag 2.02, 1 Zn 2.10
F  0.7683  0.1861  0.2057  1 Ag 2.02, 1 Zn 2.10
F  0.6832  0.6564  0.0078  2 Zn 2.02-2.13
F  0.6703  0.6495  0.5086  2 Zn 2.01-2.17
F  0.3297  0.3505  0.4914  2 Zn 2.01-2.17
F  0.2317  0.8139  0.7943  1 Ag 2.02, 1 Zn 2.10
K  0.0000  0.0000  0.5000  6 F 2.45-2.62
Zn  0.5018  0.5026  0.7566  6 F 2.01-2.17
Zn  0.4982  0.4974  0.2434  6 F 2.01-2.17
Ag  0.0000  0.0000  0.0000  4 F 2.02

Summary:
- symmetry = P-1
- formation energy from raw total energies (kJ/mol of atoms) = -185.0

(6)
DFT (PBE) results for a geometry-optimized Rb3Ho3ReO8 structure.

Cell lengths 6.7909, 6.7910, 7.6680 Å; angles 116.30, 90.00, 120.00 degrees
With the nearest neighbours (Å) after each atom.
Element x y z (fractional)
O  0.7236  0.4473  0.6709  3 Ho 2.26
O  0.2091  0.9548  0.6638  1 Re 2.11, 2 Ho 2.30
O  0.2091  0.4182  0.6638  1 Re 2.11, 2 Ho 2.30
O  0.7909  0.0452  0.3362  1 Re 2.11, 2 Ho 2.30
O  0.7909  0.5818  0.3362  1 Re 2.11, 2 Ho 2.30
O  0.2764  0.5527  0.3291  3 Ho 2.26
O  0.7457  0.9548  0.6638  1 Re 2.11, 2 Ho 2.30
O  0.2543  0.0452  0.3362  1 Re 2.11, 2 Ho 2.30
Ho  0.0000  0.5000  0.5000  6 O 2.26-2.30
Ho  0.5000  0.5000  0.5000  6 O 2.26-2.30
Ho  0.5000  0.0000  0.5000  6 O 2.26-2.30
Rb  0.0000  0.5000  0.0000  6 O 2.91-2.92
Rb  0.0000  0.0000  0.0000  6 O 2.91-2.92
Rb  0.5000  0.5000  0.0000  6 O 2.91-2.92
Re  0.0000  0.0000  0.5000  6 O 2.11

Summary:
- symmetry = R-3m
- formation energy from raw total energies (kJ/mol of atoms) = -234.3

Which volume belongs to each record? In order, 1598.7 192.1 407.0 746.4 181.3 263.1 Å³ per cell.
Which total magnetization belongs to each record? In order, 7.8 0.0 0.0 0.0 0.0 3.0 μB/f.u..